No. 1
Below is a geometry-optimized BaNi structure, with properties calculated at the GGA-PBE level.

## Properties
total magnetic moment: 0.1 μB per formula unit
energy: -3.2178 eV per atom

abc: 6.858 6.858 6.858
angles: 90.00 90.00 90.00
Site moments in Bohr magnetons follow the coordinates.
Fractional coordinates of all 8 atoms:
1 Ni 0.750 0.750 0.250  0.17
2 Ni 0.250 0.250 0.250  0.17
3 Ni 0.750 0.250 0.750  0.17
4 Ni 0.250 0.750 0.750  0.17
5 Ba 0.500 0.000 0.500  -0.01
6 Ba 0.000 0.500 0.500  -0.01
7 Ba 0.000 0.000 0.000  -0.01
8 Ba 0.500 0.500 0.000  -0.01

=====

No. 2
Below is a geometry-optimized Zr6Rh2N structure, with properties calculated at the GGA-PBE level.

## Properties
formation energy from raw total energies: -17.80 kcal/mol of atoms
total magnetic moment: 0.0 μB per formula unit
energy: -9.0292 eV per atom
excess energy over the best structure of this formula in the dataset: 0 meV per atom

abc: 3.354 5.884 9.066
angles: 90.05 90.00 106.56
Fractional coordinates of all 9 atoms:
1 Rh 0.740 0.481 0.764
2 Rh 0.260 0.519 0.236
3 Zr 0.132 0.263 0.558
4 Zr 0.437 0.873 0.737
5 Zr 0.868 0.736 0.052
6 Zr 0.132 0.264 0.948
7 Zr 0.563 0.127 0.263
8 Zr 0.868 0.737 0.442
9 N 0.500 0.000 0.500